[1]
## CsKSiAs2 (GGA-PBE)

Data for an optimized crystal structure of CsKSiAs2.

**DOS at the Fermi energy**: 1.43 states/eV/f.u.
**Magnetic moment**: 0.00 μB/f.u.
**Formation energy from raw total energies**: -0.134 eV/atom

Lattice parameters (Å, degrees): 5.2110 7.5630 8.7302 90.00 90.00 90.00
Fractional coordinates of all 10 atoms:
Cs  0.2500  0.0000  0.1897
Cs  0.7500  0.0000  0.8103
K  0.2500  0.5000  0.3744
K  0.7500  0.5000  0.6256
Si  0.0000  0.5000  0.0000
Si  0.5000  0.5000  0.0000
As  0.2500  0.3307  0.7807
As  0.2500  0.6693  0.7807
As  0.7500  0.3307  0.2193
As  0.7500  0.6693  0.2193

=====

[2]
## Tc4Ir (GGA-PBE)

Data for an optimized crystal structure of Tc4Ir.

**DOS at the Fermi energy**: 9.41 states/eV/f.u.
**Magnetic moment**: 0.00 μB/f.u.
**ΔH_f (0 K)**: 7.3 eV per formula unit

Lattice parameters (Å, degrees): 4.9430 4.9430 4.9430 109.47 109.47 109.47
Fractional coordinates of all 5 atoms:
Tc  0.0000  0.0000  0.5000
Tc  0.0000  0.5000  0.0000
Tc  0.5000  0.0000  0.0000
Tc  0.5000  0.5000  0.5000
Ir  0.0000  0.0000  0.0000

=====

[3]
## AlFeGe (GGA-PBE)

Data for an optimized crystal structure of AlFeGe.

**DOS at the Fermi energy**: 0.67 states/eV/f.u.
**Magnetic moment**: 1.01 μB/f.u.
**ΔH_f (0 K)**: -0.5 eV per formula unit

Lattice parameters (Å, degrees): 4.5434 4.5434 4.5434 139.04 139.04 59.31
Fractional coordinates of all 3 atoms:
Al  0.0000  0.0000  0.0000
Fe  0.6653  0.6653  0.0000
Ge  0.3193  0.3193  0.0000

=====

[4]
## ZrOs2Br (GGA-PBE)

Data for an optimized crystal structure of ZrOs2Br.

**DOS at the Fermi energy**: 3.50 states/eV/f.u.
**Magnetic moment**: 0.00 μB/f.u.
**Formation energy from raw total energies**: 0.378 eV/atom

Lattice parameters (Å, degrees): 5.4337 5.4337 4.5051 93.33 93.33 32.16
Fractional coordinates of all 4 atoms:
Zr  0.0000  0.0000  0.0000
Os  0.2790  0.2790  0.7766
Os  0.7210  0.7210  0.2234
Br  0.5000  0.5000  0.5000

=====

Q: magnetic moment of number 2 (Tc4Ir)?
A: 0.00 μB/f.u.